[1]
# Be2AlIn

A relaxed structure of Be2AlIn (PBE-GGA, the Alexandria database).

a b c (Å): 3.7504 3.6487 4.7218
angles (deg): 66.34 90.00 90.00
Positions (direct):
In (0.0000, 0.4732, 0.4172)
Be (0.0000, 0.1931, 0.9898)
Al (0.5000, 0.7714, 0.8431)
Be (0.5000, 0.0623, 0.2498)

Values from the calculation:
* space group: No. 6
* ΔH_f (0 K): 277 meV per atom
* total moment: 0.0000 μB per atom

[2]
# Be2AlIn

A relaxed structure of Be2AlIn (PBE-GGA, the Alexandria database).

a b c (Å): 3.1459 4.9329 5.0770
angles (deg): 50.95 90.00 90.00
Positions (direct):
Al (0.0000, 0.0000, 0.5000)
Be (0.0000, 0.0000, 0.0000)
Be (0.5000, 0.5000, 0.0000)
In (0.5000, 0.5000, 0.5000)

Values from the calculation:
* space group: No. 10
* ΔH_f (0 K): 482 meV per atom
* total moment: 0.0000 μB per atom

[3]
# BeAl2In

A relaxed structure of BeAl2In (PBE-GGA, the Alexandria database).

a b c (Å): 2.8092 3.7638 6.6842
angles (deg): 90.00 90.00 90.00
Positions (direct):
Be (0.0000, 0.0000, 0.4368)
Al (0.0000, 0.0000, 0.0495)
In (0.5000, 0.5000, 0.7282)
Al (0.5000, 0.5000, 0.2856)

Values from the calculation:
* space group: No. 25
* ΔH_f (0 K): 295 meV per atom
* total moment: 0.0000 μB per atom

What did the second record say?
# Be2AlIn

A relaxed structure of Be2AlIn (PBE-GGA, the Alexandria database).

a b c (Å): 3.1459 4.9329 5.0770
angles (deg): 50.95 90.00 90.00
Positions (direct):
Al (0.0000, 0.0000, 0.5000)
Be (0.0000, 0.0000, 0.0000)
Be (0.5000, 0.5000, 0.0000)
In (0.5000, 0.5000, 0.5000)

Values from the calculation:
* space group: No. 10
* ΔH_f (0 K): 482 meV per atom
* total moment: 0.0000 μB per atom